Entry 1:
## SnSbCl2 (PBE-GGA)

Data for crystalline SnSbCl2 at its relaxed geometry.

abc: 10.2789 10.2789 10.2789
angles: 19.44 19.44 19.44
With the nearest neighbours (Å) after each atom.
Positions (direct):
Sb 0.0000 0.0000 0.0000  2 Cl 2.62
Sn 0.5000 0.5000 0.5000  6 Cl 3.14, 6 Sn 3.47
Cl 0.9133 0.9133 0.9133  1 Sb 2.62
Cl 0.0867 0.0867 0.0867  1 Sb 2.62

Properties
ΔE to the lowest computed polymorph (eV per formula unit): 0.000
SG: R-3m (166)
ΔE_f (raw) (meV per atom): -413

---

Entry 2:
## USiOs2 (PBE-GGA)

Data for crystalline USiOs2 at its relaxed geometry.

abc: 2.8725 2.8725 8.9096
angles: 80.72 80.72 60.00
With the nearest neighbours (Å) after each atom.
Positions (direct):
Os 0.7375 0.7375 0.7874  3 Si 2.49
Os 0.2625 0.2625 0.2126  3 Si 2.49
Si 0.0000 0.0000 0.0000  6 Os 2.49
U 0.5000 0.5000 0.5000  6 U 2.87, 6 Os 3.01

Properties
ΔE to the lowest computed polymorph (eV per formula unit): 1.198
SG: R-3m (166)
ΔE_f (raw) (meV per atom): 63

---

Entry 3:
## Hf2BIrW (PBE-GGA)

Data for crystalline Hf2BIrW at its relaxed geometry.

abc: 5.0525 4.6323 5.0525
angles: 90.00 90.00 90.00
With the nearest neighbours (Å) after each atom.
Positions (direct):
B 0.5000 0.5000 0.5000  8 Hf 3.43, 4 Ir 3.57
Ir 0.0000 0.5000 0.0000  2 W 2.32
Hf 0.0000 0.0000 0.5000  2 W 2.53
Hf 0.5000 0.0000 0.0000  2 W 2.53
W 0.0000 0.0000 0.0000  2 Ir 2.32, 4 Hf 2.53

Properties
SG: P4/mmm (123)
Energy relative to the elements (eV/atom): 1.773

---

Entry 4:
## KBe2In (PBE-GGA)

Data for crystalline KBe2In at its relaxed geometry.

abc: 9.9342 9.9342 9.9342
angles: 18.43 18.43 18.43
With the nearest neighbours (Å) after each atom.
Positions (direct):
Be 0.9867 0.9867 0.9867  3 In 2.75
Be 0.5133 0.5133 0.5133  3 In 2.75
K 0.7500 0.7500 0.7500  6 K 3.18, 6 Be 3.37
In 0.2500 0.2500 0.2500  6 Be 2.75

Properties
SG: R-3m (166)
Energy relative to the elements (eV/atom): 0.981

---

Entry 5:
## LiAl3C (PBE-GGA)

Data for crystalline LiAl3C at its relaxed geometry.

abc: 4.1101 4.1101 4.1101
angles: 90.00 90.00 90.00
With the nearest neighbours (Å) after each atom.
Positions (direct):
C 0.0000 0.0000 0.0000  6 Al 2.06
Al 0.0000 0.5000 0.0000  2 C 2.06
Al 0.0000 0.0000 0.5000  2 C 2.06
Al 0.5000 0.0000 0.0000  2 C 2.06
Li 0.5000 0.5000 0.5000  12 Al 2.91

Properties
ΔE to the lowest computed polymorph (eV per formula unit): 0.000
SG: Pm-3m (221)
Energy relative to the elements (eV/atom): 0.345

---

Entry 6:
## Pm3TeS6 (PBE-GGA)

Data for crystalline Pm3TeS6 at its relaxed geometry.

abc: 6.8391 8.7332 8.7332
angles: 103.14 90.00 90.00
With the nearest neighbours (Å) after each atom.
Positions (direct):
Pm 0.4926 0.9137 0.7084  7 S 2.78-3.07
Pm 0.9926 0.7084 0.9137  7 S 2.78-3.07
Pm 0.3858 0.4075 0.5925  7 S 2.81-2.92
Pm 0.8858 0.5925 0.4075  7 S 2.81-2.92
Pm 0.9926 0.0863 0.2916  7 S 2.78-3.07
Pm 0.4926 0.2916 0.0863  7 S 2.78-3.07
Te 0.9686 0.1628 0.8372  3 S 2.49-2.73
Te 0.4686 0.8372 0.1628  3 S 2.49-2.73
S 0.1875 0.6962 0.6324  4 Pm 2.78-2.85
S 0.6875 0.6324 0.6962  4 Pm 2.78-2.85
S 0.1995 0.4243 0.8942  1 Te 2.73, 3 Pm 2.83-3.01
S 0.6995 0.8942 0.4243  1 Te 2.73, 3 Pm 2.83-3.01
S 0.2397 0.0096 0.9904  2 Te 2.80-2.83, 4 Pm 2.97-3.07
S 0.6321 0.2329 0.7671  1 Te 2.49
S 0.1321 0.7671 0.2329  1 Te 2.49
S 0.7397 0.9904 0.0096  2 Te 2.80-2.83, 4 Pm 2.97-3.07
S 0.1995 0.1058 0.5757  1 Te 2.73, 3 Pm 2.83-3.01
S 0.6995 0.5757 0.1058  1 Te 2.73, 3 Pm 2.83-3.01
S 0.1875 0.3676 0.3038  4 Pm 2.78-2.85
S 0.6875 0.3038 0.3676  4 Pm 2.78-2.85

Properties
SG: Cmc2_1 (36)
ΔE_f (raw) (meV per atom): -1453

---

Entry 7:
## Ba4SiH (PBE-GGA)

Data for crystalline Ba4SiH at its relaxed geometry.

abc: 7.4155 7.9911 9.3371
angles: 90.00 90.00 90.00
With the nearest neighbours (Å) after each atom.
Positions (direct):
Ba 0.3320 0.6543 0.0000  1 H 2.78
Ba 0.8283 0.3302 0.0000  1 H 2.63
Ba 0.3370 0.1816 0.7693  1 H 2.66
Ba 0.8370 0.8184 0.7307  1 H 2.66
Ba 0.3283 0.6698 0.5000  1 H 2.63
Ba 0.8320 0.3457 0.5000  1 H 2.78
Ba 0.8370 0.8184 0.2693  1 H 2.66
Ba 0.3370 0.1816 0.2307  1 H 2.66
Si 0.0644 0.9842 0.0000  6 Ba 3.27-3.35
Si 0.5644 0.0158 0.5000  6 Ba 3.27-3.35
H 0.4733 0.3316 0.0000  4 Ba 2.63-2.78
H 0.9733 0.6684 0.5000  4 Ba 2.63-2.78

Properties
SG: Pmn2_1 (31)
E (eV per atom): -2.93

---

Entry 8:
## CuHg3P (PBE-GGA)

Data for crystalline CuHg3P at its relaxed geometry.

abc: 5.1685 5.1685 5.1685
angles: 90.00 90.00 90.00
With the nearest neighbours (Å) after each atom.
Positions (direct):
P 0.0000 0.0000 0.0000  6 Hg 2.58
Hg 0.0000 0.5000 0.0000  2 P 2.58
Hg 0.0000 0.0000 0.5000  2 P 2.58
Hg 0.5000 0.0000 0.0000  2 P 2.58
Cu 0.5000 0.5000 0.5000  12 Hg 3.65

Properties
ΔE to the lowest computed polymorph (eV per formula unit): 0.000
SG: Pm-3m (221)
Energy relative to the elements (eV/atom): 0.609

---

Entry 9:
## TbEr2Tl (PBE-GGA)

Data for crystalline TbEr2Tl at its relaxed geometry.

abc: 3.5386 3.5386 11.1675
angles: 80.88 80.88 60.00
With the nearest neighbours (Å) after each atom.
Positions (direct):
Tl 0.0000 0.0000 0.0000  6 Er 3.33, 6 Tl 3.54
Tb 0.5000 0.5000 0.5000  6 Er 3.52, 6 Tb 3.54
Er 0.2535 0.2535 0.2394  3 Tl 3.33, 3 Tb 3.52, 6 Er 3.54
Er 0.7465 0.7465 0.7606  3 Tl 3.33, 3 Tb 3.52, 6 Er 3.54

Properties
ΔE to the lowest computed polymorph (eV per formula unit): 0.252
SG: R-3m (166)
Energy relative to the elements (eV/atom): -0.111

---

Entry 10:
## PaPtO5 (PBE-GGA)

Data for crystalline PaPtO5 at its relaxed geometry.

abc: 5.5077 5.5077 8.8650
angles: 120.76 120.76 73.67
With the nearest neighbours (Å) after each atom.
Positions (direct):
Pa 0.7864 0.7136 0.2500  4 O 2.04-2.23
Pa 0.2136 0.2864 0.7500  4 O 2.04-2.23
Pt 0.0000 0.0000 0.0000  6 O 1.97-2.01
Pt 0.5000 0.5000 0.5000  6 O 1.97-2.01
O 0.9058 0.8564 0.1258  1 Pt 1.97, 1 Pa 2.04
O 0.7563 0.1557 0.4665  1 Pt 2.01, 1 Pa 2.23
O 0.3564 0.4058 0.6258  1 Pt 1.97, 1 Pa 2.04
O 0.1502 0.3498 0.2500  2 Pt 1.99
O 0.3443 0.7437 0.0335  1 Pt 2.01, 1 Pa 2.23
O 0.6557 0.2563 0.9665  1 Pt 2.01, 1 Pa 2.23
O 0.8498 0.6502 0.7500  2 Pt 1.99
O 0.6436 0.5942 0.3742  1 Pt 1.97, 1 Pa 2.04
O 0.2437 0.8443 0.5335  1 Pt 2.01, 1 Pa 2.23
O 0.0942 0.1436 0.8742  1 Pt 1.97, 1 Pa 2.04

Properties
SG: C2/c (15)
ΔE_f (raw) (meV per atom): -1916

---

Entry 11:
## La4Pm4Pr (PBE-GGA)

Data for crystalline La4Pm4Pr at its relaxed geometry.

abc: 5.2504 8.2612 8.2612
angles: 84.20 71.47 71.47
With the nearest neighbours (Å) after each atom.
Positions (direct):
La 0.6672 0.6654 0.0001  6 Pm 3.69-3.71, 4 La 3.69-3.71, 2 Pr 3.71
La 0.3328 0.3346 0.9999  6 Pm 3.69-3.71, 4 La 3.69-3.71, 2 Pr 3.71
La 0.6674 0.9999 0.6654  6 Pm 3.69-3.71, 4 La 3.69-3.71, 2 Pr 3.71
La 0.3326 0.0001 0.3346  6 Pm 3.69-3.71, 4 La 3.69-3.71, 2 Pr 3.71
Pm 0.6648 0.3351 0.3353  5 Pm 3.65-3.68, 6 La 3.69-3.71, 1 Pr 3.71
Pm 0.3352 0.6649 0.6647  5 Pm 3.65-3.68, 6 La 3.69-3.71, 1 Pr 3.71
Pm 0.0001 0.6647 0.3351  5 Pm 3.65-3.68, 6 La 3.69-3.71, 1 Pr 3.71
Pm 0.9999 0.3353 0.6649  5 Pm 3.65-3.68, 6 La 3.69-3.71, 1 Pr 3.71
Pr 0.0000 0.0000 0.0000  8 La 3.71, 4 Pm 3.71

Properties
SG: I4/mmm (139)
Energy relative to the elements (eV/atom): 0.018

---

Entry 12:
## Sm5DyEr2Th (PBE-GGA)

Data for crystalline Sm5DyEr2Th at its relaxed geometry.

abc: 5.6265 10.5458 10.5399
angles: 90.00 90.00 105.47
With the nearest neighbours (Å) after each atom.
Positions (direct):
Sm 0.3877 0.7754 0.0261  6 Sm 3.52-3.89, 4 Er 3.59-3.60, 1 Th 3.84
Sm 0.7231 0.4463 0.8121  1 Dy 3.05, 1 Er 3.29, 2 Sm 3.36
Sm 0.4797 0.9594 0.7433  2 Dy 3.20-3.38, 2 Er 3.49, 2 Sm 3.52-3.54
Sm 0.2943 0.5887 0.7044  2 Sm 3.36, 2 Th 3.47, 1 Dy 3.49, 3 Er 3.55-3.72
Sm 0.9853 0.9706 0.5200  2 Dy 3.30, 3 Er 3.42-3.58, 2 Sm 3.67
Sm 0.6123 0.2246 0.5261  6 Sm 3.52-3.89, 4 Er 3.59-3.60, 1 Th 3.84
Sm 0.2769 0.5537 0.3121  1 Dy 3.05, 1 Er 3.29, 2 Sm 3.36
Sm 0.5203 0.0406 0.2433  2 Dy 3.20-3.38, 2 Er 3.49, 2 Sm 3.52-3.54
Sm 0.7057 0.4113 0.2044  2 Sm 3.36, 2 Th 3.47, 1 Dy 3.49, 3 Er 3.55-3.72
Sm 0.0147 0.0294 0.0200  2 Dy 3.30, 3 Er 3.42-3.58, 2 Sm 3.67
Dy 0.5927 0.1854 0.9549  5 Sm 3.05-3.38
Dy 0.4073 0.8146 0.4549  5 Sm 3.05-3.38
Er 0.8848 0.7697 0.8137  8 Sm 3.29-3.60, 1 Th 3.61
Er 0.1120 0.2241 0.7373  1 Th 3.39, 7 Sm 3.45-3.72, 2 Dy 3.65
Er 0.1152 0.2303 0.3137  8 Sm 3.29-3.60, 1 Th 3.61
Er 0.8880 0.7759 0.2373  1 Th 3.39, 7 Sm 3.45-3.72, 2 Dy 3.65
Th 0.8010 0.6021 0.5121  2 Er 3.39-3.61, 7 Sm 3.47-3.78, 2 Dy 3.60
Th 0.1990 0.3979 0.0121  2 Er 3.39-3.61, 7 Sm 3.47-3.78, 2 Dy 3.60

Properties
SG: Cmc2_1 (36)
Energy relative to the elements (eV/atom): 0.159